Dy2Sc3 (GGA-PBE, optimized geometry); calculated total energy = -0.20231 Ha/atom; DOS at the Fermi energy = 8.081 states/eV/f.u.; formation energy from the elements = 0.1345 eV per atom
1.0
6.6638 0.0000 0.0000
0.0000 8.7445 0.0000
0.0000 0.0000 9.4645
Dy Sc
8 12
direct
0.1118 0.1911 0.0960
0.1118 0.8089 0.5960
0.3882 0.3089 0.5960
0.3882 0.6911 0.0960
0.6118 0.3089 0.9040
0.6118 0.6911 0.4040
0.8882 0.1911 0.4040
0.8882 0.8089 0.9040
0.0000 0.1473 0.7500
0.0000 0.8527 0.2500
0.1474 0.4723 0.8713
0.1474 0.5277 0.3713
0.3526 0.0277 0.3713
0.3526 0.9723 0.8713
0.5000 0.3527 0.2500
0.5000 0.6473 0.7500
0.6474 0.0277 0.1287
0.6474 0.9723 0.6287
0.8526 0.4723 0.6287
0.8526 0.5277 0.1287